w.
# Ba6TlAu, relaxed, DFT PBE
# DOS at the Fermi energy   9.05 states/eV/f.u.
data_Ba6TlAu
_chemical_formula_sum 'Ba12 Tl2 Au2'
_symmetry_space_group_name_H-M 'I 4/m m m'
_symmetry_Int_Tables_number 139
_symmetry_space_group_name_Hall '-I 4 2'
_cell_length_a 6.029
_cell_length_b 6.029
_cell_length_c 22.063
_cell_angle_alpha 90.00
_cell_angle_beta 90.00
_cell_angle_gamma 90.00
loop_
_atom_site_label
_atom_site_type_symbol
_atom_site_fract_x
_atom_site_fract_y
_atom_site_fract_z
Ba1 Ba 0.000 0.000 0.244
Ba2 Ba 0.000 0.500 0.087
Tl1 Tl 0.000 0.000 0.000
Au1 Au 0.000 0.000 0.500


x.
# Ba6TlAu, relaxed, DFT PBE
# DOS at the Fermi energy   9.16 states/eV/f.u.
data_Ba6TlAu
_chemical_formula_sum 'Ba18 Tl3 Au3'
_symmetry_space_group_name_H-M 'R -3'
_symmetry_Int_Tables_number 148
_symmetry_space_group_name_Hall '-R 3'
_cell_length_a 8.2272
_cell_length_b 8.2272
_cell_length_c 23.2363
_cell_angle_alpha 90.00
_cell_angle_beta 90.00
_cell_angle_gamma 120.00
loop_
_atom_site_label
_atom_site_type_symbol
_atom_site_fract_x
_atom_site_fract_y
_atom_site_fract_z
Ba1 Ba 0.0027 0.6480 0.0830
Tl1 Tl 0.0000 0.0000 0.0000
Au1 Au 0.0000 0.0000 0.5000


Stability check: which of them is most stable? w.


w.
# Ba2Tl3Au, relaxed, DFT PBE
# DOS at the Fermi energy   3.46 states/eV/f.u.
data_Ba2Tl3Au
_chemical_formula_sum 'Ba4 Tl6 Au2'
_symmetry_space_group_name_H-M 'C 1 m 1'
_symmetry_Int_Tables_number 8
_symmetry_space_group_name_Hall 'C -2y'
_cell_length_a 12.214
_cell_length_b 5.191
_cell_length_c 8.407
_cell_angle_alpha 90.00
_cell_angle_beta 131.21
_cell_angle_gamma 90.00
loop_
_atom_site_label
_atom_site_type_symbol
_atom_site_fract_x
_atom_site_fract_y
_atom_site_fract_z
Ba1 Ba 0.000 0.000 0.000
Ba2 Ba 0.089 0.000 0.596
Tl1 Tl 0.198 0.500 0.001
Tl2 Tl 0.222 0.500 0.411
Tl3 Tl 0.383 0.000 0.203
Au1 Au 0.380 0.000 0.594


x.
# Ba2Tl3Au, relaxed, DFT PBE
# DOS at the Fermi energy   4.56 states/eV/f.u.
data_Ba2Tl3Au
_chemical_formula_sum 'Ba16 Tl24 Au8'
_symmetry_space_group_name_H-M 'F m m m'
_symmetry_Int_Tables_number 69
_symmetry_space_group_name_Hall '-F 2 2'
_cell_length_a 8.441
_cell_length_b 10.560
_cell_length_c 18.318
_cell_angle_alpha 90.00
_cell_angle_beta 90.00
_cell_angle_gamma 90.00
loop_
_atom_site_label
_atom_site_type_symbol
_atom_site_fract_x
_atom_site_fract_y
_atom_site_fract_z
Ba1 Ba 0.246 0.000 0.000
Ba2 Ba 0.250 0.250 0.250
Tl1 Tl 0.000 0.000 0.328
Tl2 Tl 0.000 0.242 0.086
Au1 Au 0.000 0.000 0.167


Stability check: which of them is most stable? w.


w.
# BaV3Au, relaxed, DFT PBE
# DOS at the Fermi energy   12.11 states/eV/f.u.
data_BaV3Au
_chemical_formula_sum 'Ba1 V3 Au1'
_symmetry_space_group_name_H-M 'P m -3 m'
_symmetry_Int_Tables_number 221
_symmetry_space_group_name_Hall '-P 4 2 3'
_cell_length_a 5.141
_cell_length_b 5.141
_cell_length_c 5.141
_cell_angle_alpha 90.00
_cell_angle_beta 90.00
_cell_angle_gamma 90.00
loop_
_atom_site_label
_atom_site_type_symbol
_atom_site_fract_x
_atom_site_fract_y
_atom_site_fract_z
Ba1 Ba 0.000 0.000 0.000
V1 V 0.000 0.500 0.500
Au1 Au 0.500 0.500 0.500


x.
# BaV3Au, relaxed, DFT PBE
# DOS at the Fermi energy   3.86 states/eV/f.u.
data_BaV3Au
_chemical_formula_sum 'Ba1 V3 Au1'
_symmetry_space_group_name_H-M 'P m -3 m'
_symmetry_Int_Tables_number 221
_symmetry_space_group_name_Hall '-P 4 2 3'
_cell_length_a 4.739
_cell_length_b 4.739
_cell_length_c 4.739
_cell_angle_alpha 90.00
_cell_angle_beta 90.00
_cell_angle_gamma 90.00
loop_
_atom_site_label
_atom_site_type_symbol
_atom_site_fract_x
_atom_site_fract_y
_atom_site_fract_z
Ba1 Ba 0.000 0.000 0.000
V1 V 0.000 0.000 0.500
Au1 Au 0.500 0.500 0.500


Stability check: which of them is most stable? w.